Below is Cu2ReAg after structural relaxation, with properties calculated at the GGA-PBE level.

The structure in extended XYZ format:
```
4
Lattice="-5.6380 0.3163 -7.0022 -7.4595 -0.2077 -5.0230 -6.6885 2.3732 -5.5272" Properties=species:S:1:pos:R:3 pbc="T T T"
Ag -14.8396 1.8613 -13.1643
Cu -19.7314 2.4749 -17.5039
Cu -9.9477 1.2477 -8.8247
Re -4.9465 0.6204 -4.3881
```

Properties
DFT formation energy	1.16	eV/f.u.
offset from the most stable computed form	28	meV per atom
calculated density	12.1	Mg/m³
energy	-5.582	eV/atom
symmetry	R-3m